Y2ZnAg | SCAN | single point on PBEsol structure

## Properties
- energy relative to the elements (kJ/mol of atoms) = -43

a = 3.560 Å, b = 5.013 Å, c = 5.015 Å
α = 90.00°, β = 90.00°, γ = 90.00°
Space group Pmm2 (No. 25)
One atom of each set of equivalent atoms:
Y: 0.000 0.000 0.000 [1 per cell]
Y: 0.000 0.500 0.498 [1 per cell]
Zn: 0.500 0.000 0.501 [1 per cell]
Ag: 0.500 0.500 0.997 [1 per cell]